# FeRhF2 (PBE+U, optimized geometry)
data_FeRhF2
_cell_length_a 2.7610
_cell_length_b 2.7610
_cell_length_c 23.9254
_cell_angle_alpha 90.00
_cell_angle_beta 90.00
_cell_angle_gamma 120.00
_symmetry_space_group_name_H-M 'R -3 m'
_symmetry_Int_Tables_number 166
_symmetry_space_group_name_Hall '-R 3 2"'
loop_
_atom_site_label
_atom_site_type_symbol
_atom_site_fract_x
_atom_site_fract_y
_atom_site_fract_z
_atom_site_occupancy
Fe1 Fe 0.0000 0.0000 0.0000 1
Rh1 Rh 0.0000 0.0000 0.5000 1
F1 F 0.0000 0.0000 0.0769 1
# **Uncorrected energy**: -57.5 eV per cell
# **Calculated volume**: 13.16 A^3/atom
# **Total magnetization**: 1.248 μB per atom
# **Density of states at the Fermi level**: 3.17 states/eV/f.u.
# **ΔE to the lowest computed polymorph**: 272.1 meV per atom